(1)
ZrTlH3 | PBE | relaxed

Summary:
**DOS at the Fermi energy**: 0.256 states/eV per atom
**Total magnetic moment**: 0.000 μB/cell
**ρ**: 8247 kg/m3
**Total DFT energy (no corrections)**: -3.37 eV per atom

Cell lengths 3.918, 3.918, 3.918 Å; angles 90.00, 90.00, 90.00 degrees
Fractional coordinates of all 5 atoms:
Zr 0.000 0.000 0.000
Tl 0.500 0.500 0.500
H 0.000 0.500 0.500
H 0.500 0.000 0.500
H 0.500 0.500 0.000

---

(2)
Zr4Tl2H | PBE | relaxed

Summary:
**DOS at the Fermi energy**: 1.018 states/eV per atom
**Total magnetic moment**: 0.000 μB/cell
**ρ**: 9353 kg/m3
**Total DFT energy (no corrections)**: -6.22 eV per atom

Cell lengths 7.498, 7.498, 4.176 Å; angles 90.00, 90.00, 144.15 degrees
Fractional coordinates of all 7 atoms:
Zr 0.000 0.000 0.000
Zr 0.170 0.830 0.500
Zr 0.500 0.500 0.500
Zr 0.830 0.170 0.500
Tl 0.342 0.658 0.000
Tl 0.658 0.342 0.000
H 0.000 0.000 0.500

---

(3)
ZrTl2H | PBE | relaxed

Summary:
**DOS at the Fermi energy**: 1.055 states/eV per atom
**Total magnetic moment**: 0.000 μB/cell
**ρ**: 10445 kg/m3
**Total DFT energy (no corrections)**: -3.76 eV per atom

Cell lengths 5.960, 5.960, 5.960 Å; angles 104.76, 104.76, 119.37 degrees
Fractional coordinates of all 8 atoms:
Zr 0.000 0.000 0.000
Zr 0.750 0.250 0.500
Tl 0.201 0.125 0.576
Tl 0.375 0.799 0.924
Tl 0.549 0.625 0.424
Tl 0.875 0.451 0.076
H 0.250 0.750 0.500
H 0.500 0.500 0.000

---

Repeat the third record exactly.
ZrTl2H | PBE | relaxed

Summary:
**DOS at the Fermi energy**: 1.055 states/eV per atom
**Total magnetic moment**: 0.000 μB/cell
**ρ**: 10445 kg/m3
**Total DFT energy (no corrections)**: -3.76 eV per atom

Cell lengths 5.960, 5.960, 5.960 Å; angles 104.76, 104.76, 119.37 degrees
Fractional coordinates of all 8 atoms:
Zr 0.000 0.000 0.000
Zr 0.750 0.250 0.500
Tl 0.201 0.125 0.576
Tl 0.375 0.799 0.924
Tl 0.549 0.625 0.424
Tl 0.875 0.451 0.076
H 0.250 0.750 0.500
H 0.500 0.500 0.000